Sm6Er5Tm: relaxed, PBE.

Unit cell a=5.0551 b=10.0160 c=9.4321 alpha=122.07 beta=105.54 gamma=90.00
Closest atoms and distances in Å follow each position.
Element x y z (fractional)
Sm (0.8333, 0.0832, 0.6667)  1 Tm 3.56, 7 Er 3.56, 4 Sm 3.57-3.58
Sm (0.1667, 0.9168, 0.3333)  1 Tm 3.56, 7 Er 3.56, 4 Sm 3.57-3.58
Er (0.6666, 0.6666, 0.3332)  8 Sm 3.56, 4 Er 3.57-3.58
Sm (0.5000, 0.7502, 0.0000)  6 Er 3.55-3.56, 2 Tm 3.56, 4 Sm 3.57
Er (0.3335, 0.8335, 0.6670)  8 Sm 3.55-3.56, 2 Tm 3.57, 2 Er 3.58
Tm (0.0000, 0.0000, 0.0000)  8 Sm 3.56, 4 Er 3.57
Sm (0.5000, 0.2498, 0.0000)  6 Er 3.55-3.56, 2 Tm 3.56, 4 Sm 3.57
Er (0.0000, 0.5000, 0.0000)  8 Sm 3.56, 4 Er 3.57
Sm (0.1666, 0.4165, 0.3333)  1 Tm 3.56, 7 Er 3.56, 4 Sm 3.57-3.58
Er (0.3334, 0.3334, 0.6668)  8 Sm 3.56, 4 Er 3.57-3.58
Er (0.6665, 0.1665, 0.3330)  8 Sm 3.55-3.56, 2 Tm 3.57, 2 Er 3.58
Sm (0.8334, 0.5835, 0.6667)  1 Tm 3.56, 7 Er 3.56, 4 Sm 3.57-3.58

Computed properties:
For the density of states at the Fermi level, the calculation gives 15.66 states/eV/cell. As for the formation energy: 18 meV/atom.